No. 1
PBE-GGA Ta2TlSe, optimized geometry; V = 22.90 Å³ per atom; SG = Cmm2 (35); crystal system = orthorhombic; total energy = -7.311 eV/atom
1.0
-1.121 2.182 -1.780
-2.135 -2.134 0.269
-3.828 4.889 8.403
Ta Se Tl
2 1 1
Direct
0.000 0.000 0.006
0.500 0.500 0.207
0.500 0.500 0.823
0.000 0.000 0.463

=====

No. 2
PBE-GGA TaTlSe2, optimized geometry; V = 27.50 Å³ per atom; SG = P2_1/m (11); crystal system = monoclinic; total energy = -5.846 eV/atom
1.0
-11.029 20.047 12.308
-2.956 -1.807 0.295
5.131 -8.355 0.237
Se Ta Tl
8 4 4
Direct
0.111 0.750 0.840
0.155 0.250 0.314
0.655 0.250 0.814
0.889 0.250 0.160
0.345 0.750 0.186
0.845 0.750 0.686
0.389 0.250 0.660
0.611 0.750 0.340
0.763 0.250 0.662
0.263 0.250 0.162
0.237 0.750 0.338
0.737 0.750 0.838
0.446 0.250 0.160
0.946 0.250 0.660
0.054 0.750 0.340
0.554 0.750 0.840

=====

- Which of these has the lowest total energy?
  Ta2TlSe